[1]
# LiMg2Pd, relaxed, DFT PBE
# Final energy, eV per atom: -2.634
# Total magnetization, μB per atom: 0.00
# Energy relative to the elements, eV/atom: -0.06
data_LiMg2Pd
_cell_length_a 9.850
_cell_length_b 9.850
_cell_length_c 9.850
_cell_angle_alpha 156.34
_cell_angle_beta 156.34
_cell_angle_gamma 33.71
_symmetry_space_group_name_H-M 'P 1'
_symmetry_Int_Tables_number 1
_symmetry_space_group_name_Hall 'P 1'
loop_
_atom_site_label
_atom_site_type_symbol
_atom_site_fract_x
_atom_site_fract_y
_atom_site_fract_z
_atom_site_occupancy
Li1 Li 0.000 0.000 0.000 1
Li2 Li 0.750 0.250 0.500 1
Mg1 Mg 0.137 0.625 0.012 1
Mg2 Mg 0.375 0.387 0.512 1
Mg3 Mg 0.613 0.125 0.988 1
Mg4 Mg 0.875 0.863 0.488 1
Pd1 Pd 0.250 0.750 0.500 1
Pd2 Pd 0.500 0.500 0.000 1

***

[2]
# PaAl2Fe2, relaxed, DFT PBE
# Final energy, eV per atom: -7.046
# Total magnetization, μB per atom: 0.00
# Energy relative to the elements, eV/atom: -0.26
data_PaAl2Fe2
_cell_length_a 3.812
_cell_length_b 3.725
_cell_length_c 11.215
_cell_angle_alpha 90.00
_cell_angle_beta 99.78
_cell_angle_gamma 90.00
_symmetry_space_group_name_H-M 'P 1'
_symmetry_Int_Tables_number 1
_symmetry_space_group_name_Hall 'P 1'
loop_
_atom_site_label
_atom_site_type_symbol
_atom_site_fract_x
_atom_site_fract_y
_atom_site_fract_z
_atom_site_occupancy
Pa1 Pa 0.131 0.250 0.264 1
Pa2 Pa 0.869 0.750 0.736 1
Al1 Al 0.250 0.750 0.500 1
Al2 Al 0.451 0.250 0.901 1
Al3 Al 0.549 0.750 0.099 1
Al4 Al 0.750 0.250 0.500 1
Fe1 Fe 0.034 0.250 0.066 1
Fe2 Fe 0.327 0.250 0.653 1
Fe3 Fe 0.673 0.750 0.347 1
Fe4 Fe 0.966 0.750 0.934 1

***

[3]
# TbNd2Ge4Pt3, relaxed, DFT PBE
# Final energy, eV per atom: -5.977
# Total magnetization, μB per atom: 0.00
# Energy relative to the elements, eV/atom: -0.90
data_TbNd2Ge4Pt3
_cell_length_a 4.318
_cell_length_b 4.318
_cell_length_c 11.317
_cell_angle_alpha 90.00
_cell_angle_beta 90.00
_cell_angle_gamma 90.00
_symmetry_space_group_name_H-M 'P 1'
_symmetry_Int_Tables_number 1
_symmetry_space_group_name_Hall 'P 1'
loop_
_atom_site_label
_atom_site_type_symbol
_atom_site_fract_x
_atom_site_fract_y
_atom_site_fract_z
_atom_site_occupancy
Tb1 Tb 0.000 0.000 0.000 1
Nd1 Nd 0.000 0.500 0.731 1
Nd2 Nd 0.500 0.000 0.269 1
Ge1 Ge 0.000 0.000 0.500 1
Ge2 Ge 0.000 0.500 0.164 1
Ge3 Ge 0.500 0.000 0.836 1
Ge4 Ge 0.500 0.500 0.500 1
Pt1 Pt 0.000 0.500 0.383 1
Pt2 Pt 0.500 0.000 0.617 1
Pt3 Pt 0.500 0.500 0.000 1

***

[4]
# Er8Sb2Ir, relaxed, DFT PBE
# Final energy, eV per atom: -5.417
# Uncorrected formation energy, eV per atom: -0.543
# Total magnetization, μB per atom: 0.00
data_Er8Sb2Ir
_cell_length_a 9.836
_cell_length_b 9.836
_cell_length_c 6.675
_cell_angle_alpha 103.66
_cell_angle_beta 103.66
_cell_angle_gamma 28.59
_symmetry_space_group_name_H-M 'P 1'
_symmetry_Int_Tables_number 1
_symmetry_space_group_name_Hall 'P 1'
loop_
_atom_site_label
_atom_site_type_symbol
_atom_site_fract_x
_atom_site_fract_y
_atom_site_fract_z
_atom_site_occupancy
Er1 Er 0.019 0.019 0.284 1
Er2 Er 0.219 0.219 0.831 1
Er3 Er 0.355 0.355 0.487 1
Er4 Er 0.409 0.409 0.034 1
Er5 Er 0.591 0.591 0.966 1
Er6 Er 0.645 0.645 0.513 1
Er7 Er 0.781 0.781 0.169 1
Er8 Er 0.981 0.981 0.716 1
Sb1 Sb 0.181 0.181 0.263 1
Sb2 Sb 0.819 0.819 0.737 1
Ir1 Ir 0.500 0.500 0.500 1

***

[5]
# Ca2Be, relaxed, DFT PBE
# Final energy, eV per atom: -2.190
# Total magnetization, μB per atom: 0.00
# Energy relative to the elements, eV/atom: 0.39
data_Ca2Be
_cell_length_a 7.214
_cell_length_b 7.214
_cell_length_c 7.214
_cell_angle_alpha 90.00
_cell_angle_beta 90.00
_cell_angle_gamma 90.00
_symmetry_space_group_name_H-M 'P 1'
_symmetry_Int_Tables_number 1
_symmetry_space_group_name_Hall 'P 1'
loop_
_atom_site_label
_atom_site_type_symbol
_atom_site_fract_x
_atom_site_fract_y
_atom_site_fract_z
_atom_site_occupancy
Ca1 Ca 0.158 0.158 0.158 1
Ca2 Ca 0.158 0.342 0.658 1
Ca3 Ca 0.342 0.658 0.158 1
Ca4 Ca 0.342 0.842 0.658 1
Ca5 Ca 0.658 0.158 0.342 1
Ca6 Ca 0.658 0.342 0.842 1
Ca7 Ca 0.842 0.658 0.342 1
Ca8 Ca 0.842 0.842 0.842 1
Be1 Be 0.000 0.000 0.500 1
Be2 Be 0.000 0.500 0.000 1
Be3 Be 0.500 0.000 0.000 1
Be4 Be 0.500 0.500 0.500 1

***

[6]
# Ba2CrCo, relaxed, DFT PBE
# Final energy, eV per atom: -4.339
# Total magnetization, μB per atom: 1.37
# Energy relative to the elements, eV/atom: 0.80
data_Ba2CrCo
_cell_length_a 5.599
_cell_length_b 5.599
_cell_length_c 5.599
_cell_angle_alpha 60.00
_cell_angle_beta 60.00
_cell_angle_gamma 60.00
_symmetry_space_group_name_H-M 'P 1'
_symmetry_Int_Tables_number 1
_symmetry_space_group_name_Hall 'P 1'
loop_
_atom_site_label
_atom_site_type_symbol
_atom_site_fract_x
_atom_site_fract_y
_atom_site_fract_z
_atom_site_occupancy
Ba1 Ba 0.250 0.250 0.250 1
Ba2 Ba 0.750 0.750 0.750 1
Cr1 Cr 0.000 0.000 0.000 1
Co1 Co 0.500 0.500 0.500 1